No. 1
Below is a relaxed MnCuAsN2 crystal, with properties calculated at the PBE-GGA level.

Properties
Uncorrected energy, eV/atom: -5.0163

Lattice parameters (Å, degrees): 3.794 3.794 4.548 90.00 90.00 90.00
Space group P4/mmm (No. 123)
Inequivalent atoms, fractional coordinates:
Mn (0.000, 0.000, 0.000) x1
Cu (0.500, 0.500, 0.000) x1
As (0.500, 0.500, 0.500) x1
N (0.000, 0.500, 0.500) x2


No. 2
Below is a relaxed NaMnCuAs2 crystal, with properties calculated at the PBE-GGA level.

Properties
ΔH_f (0 K), kJ/mol of atoms: -24
Uncorrected energy, eV/atom: -5.0248

Lattice parameters (Å, degrees): 4.023 4.023 11.740 90.00 90.00 90.00
Space group I-4m2 (No. 119)
Inequivalent atoms, fractional coordinates:
Na (0.000, 0.000, 0.000) x2
Mn (0.000, 0.500, 0.250) x2
Cu (0.000, 0.500, 0.750) x2
As (0.000, 0.000, 0.369) x4


No. 3
Below is a relaxed MnCuNiAs crystal, with properties calculated at the PBE-GGA level.

Properties
ΔH_f (0 K), kJ/mol of atoms: -1
Uncorrected energy, eV/atom: -5.9322

Lattice parameters (Å, degrees): 5.912 5.912 5.912 90.00 90.00 90.00
Space group F-43m (No. 216)
Inequivalent atoms, fractional coordinates:
Mn (0.000, 0.000, 0.000) x4
Cu (0.250, 0.250, 0.750) x4
Ni (0.000, 0.000, 0.500) x4
As (0.250, 0.250, 0.250) x4